Computed, not measured: crystalline U2SF6 at its relaxed geometry at the PBE level of DFT.

abc: 6.261 6.261 6.261
angles: 141.63 105.48 87.08
Atoms (fractional coordinates):
U 0.217 0.217 0.000
U 0.783 0.783 0.000
S 0.500 0.500 0.000
F 0.062 0.723 0.339
F 0.158 0.000 0.158
F 0.384 0.723 0.661
F 0.616 0.277 0.339
F 0.842 0.000 0.842
F 0.938 0.277 0.661

Output
E   -7.33 eV per atom
ΔE_f (raw)   -300.8 kJ/mol of atoms